Density functional theory data (GGA-PBE) for VSiNi2H after structural relaxation.

Calculated volume ... 49 Å³ per cell
Calculated total energy ... -0.22746 hartree per atom

a = 3.542 Å, b = 3.542 Å, c = 3.908 Å
α = 90.00°, β = 90.00°, γ = 90.00°
Sites, in units of the cell vectors:
V (0.000, 0.000, 0.000)
Si (0.500, 0.500, 0.000)
Ni (0.000, 0.500, 0.500)
Ni (0.500, 0.000, 0.500)
H (0.000, 0.000, 0.500)

Density functional theory data (GGA-PBE) for SiNi2HW after structural relaxation.

Calculated volume ... 52 Å³ per cell
Calculated total energy ... -0.24766 hartree per atom

a = 3.618 Å, b = 3.618 Å, c = 3.996 Å
α = 90.00°, β = 90.00°, γ = 90.00°
Sites, in units of the cell vectors:
Si (0.000, 0.000, 0.000)
Ni (0.000, 0.500, 0.500)
Ni (0.500, 0.000, 0.500)
H (0.500, 0.500, 0.500)
W (0.500, 0.500, 0.000)

Density functional theory data (GGA-PBE) for YSiNi2H after structural relaxation.

Calculated volume ... 127 Å³ per cell
Calculated total energy ... -0.22367 hartree per atom

a = 5.432 Å, b = 5.432 Å, c = 6.719 Å
α = 90.00°, β = 90.00°, γ = 140.01°
Sites, in units of the cell vectors:
Y (0.058, 0.942, 0.750)
Y (0.942, 0.058, 0.250)
Si (0.224, 0.776, 0.250)
Si (0.776, 0.224, 0.750)
Ni (0.334, 0.666, 0.558)
Ni (0.334, 0.666, 0.942)
Ni (0.666, 0.334, 0.058)
Ni (0.666, 0.334, 0.442)
H (0.500, 0.500, 0.000)
H (0.500, 0.500, 0.500)

Density functional theory data (GGA-PBE) for ZrSiNi2H after structural relaxation.

Calculated volume ... 118 Å³ per cell
Calculated total energy ... -0.23562 hartree per atom

a = 5.207 Å, b = 5.207 Å, c = 6.590 Å
α = 90.00°, β = 90.00°, γ = 138.86°
Sites, in units of the cell vectors:
Zr (0.059, 0.941, 0.750)
Zr (0.941, 0.059, 0.250)
Si (0.223, 0.777, 0.250)
Si (0.777, 0.223, 0.750)
Ni (0.339, 0.661, 0.557)
Ni (0.339, 0.661, 0.943)
Ni (0.661, 0.339, 0.057)
Ni (0.661, 0.339, 0.443)
H (0.500, 0.500, 0.000)
H (0.500, 0.500, 0.500)

Density functional theory data (GGA-PBE) for Sm4Ni2H after structural relaxation.

Calculated volume ... 155 Å³ per cell
Energy above the lowest structure with this stoichiometry ... 0 meV/atom
Calculated total energy ... -0.18920 hartree per atom

a = 7.135 Å, b = 7.135 Å, c = 5.847 Å
α = 99.97°, β = 99.97°, γ = 32.05°
Sites, in units of the cell vectors:
Sm (0.081, 0.081, 0.278)
Sm (0.346, 0.346, 0.187)
Sm (0.654, 0.654, 0.813)
Sm (0.919, 0.919, 0.722)
Ni (0.267, 0.267, 0.635)
Ni (0.733, 0.733, 0.365)
H (0.500, 0.500, 0.000)

Density functional theory data (GGA-PBE) for SmNi3H3 after structural relaxation.

Calculated volume ... 163 Å³ per cell
Calculated total energy ... -0.16257 hartree per atom

a = 6.137 Å, b = 6.137 Å, c = 6.137 Å
α = 60.00°, β = 60.00°, γ = 60.00°
Sites, in units of the cell vectors:
Sm (0.250, 0.250, 0.250)
Sm (0.750, 0.750, 0.750)
Ni (0.192, 0.192, 0.808)
Ni (0.192, 0.808, 0.192)
Ni (0.192, 0.808, 0.808)
Ni (0.808, 0.192, 0.192)
Ni (0.808, 0.192, 0.808)
Ni (0.808, 0.808, 0.192)
H (0.362, 0.362, 0.638)
H (0.362, 0.638, 0.362)
H (0.362, 0.638, 0.638)
H (0.638, 0.362, 0.362)
H (0.638, 0.362, 0.638)
H (0.638, 0.638, 0.362)

Density functional theory data (GGA-PBE) for SmNiH after structural relaxation.

Calculated volume ... 116 Å³ per cell
Calculated total energy ... -0.17061 hartree per atom

a = 8.488 Å, b = 3.701 Å, c = 3.701 Å
α = 88.71°, β = 90.00°, γ = 90.00°
Sites, in units of the cell vectors:
Sm (0.249, 0.000, 0.000)
Sm (0.751, 0.000, 0.000)
Ni (0.137, 0.515, 0.515)
Ni (0.863, 0.515, 0.515)
H (0.000, 0.739, 0.739)
H (0.500, 0.943, 0.943)

Density functional theory data (GGA-PBE) for SmNiH2 after structural relaxation.

Calculated volume ... 45 Å³ per cell
Calculated total energy ... -0.15270 hartree per atom

a = 5.892 Å, b = 5.892 Å, c = 5.892 Å
α = 29.88°, β = 29.88°, γ = 29.88°
Sites, in units of the cell vectors:
Sm (0.000, 0.000, 0.000)
Ni (0.500, 0.500, 0.500)
H (0.136, 0.136, 0.136)
H (0.864, 0.864, 0.864)

Density functional theory data (GGA-PBE) for Sm4Ni2H after structural relaxation.

Calculated volume ... 157 Å³ per cell
Energy above the lowest structure with this stoichiometry ... 107 meV/atom
Calculated total energy ... -0.18528 hartree per atom

a = 7.674 Å, b = 7.674 Å, c = 7.674 Å
α = 143.70°, β = 143.70°, γ = 52.27°
Sites, in units of the cell vectors:
Sm (0.000, 0.500, 0.500)
Sm (0.196, 0.196, 0.000)
Sm (0.500, 0.000, 0.500)
Sm (0.804, 0.804, 0.000)
Ni (0.387, 0.387, 0.000)
Ni (0.613, 0.613, 0.000)
H (0.000, 0.000, 0.000)

Density functional theory data (GGA-PBE) for Sm2Ni16H after structural relaxation.

Calculated volume ... 241 Å³ per cell
Calculated total energy ... -0.20724 hartree per atom

a = 6.257 Å, b = 6.257 Å, c = 6.257 Å
α = 83.77°, β = 83.77°, γ = 83.77°
Sites, in units of the cell vectors:
Sm (0.000, 0.000, 0.000)
Sm (0.328, 0.328, 0.328)
Ni (0.003, 0.003, 0.506)
Ni (0.003, 0.506, 0.003)
Ni (0.153, 0.661, 0.661)
Ni (0.312, 0.312, 0.813)
Ni (0.312, 0.813, 0.312)
Ni (0.364, 0.657, 0.951)
Ni (0.364, 0.951, 0.657)
Ni (0.506, 0.003, 0.003)
Ni (0.657, 0.364, 0.951)
Ni (0.657, 0.951, 0.364)
Ni (0.661, 0.153, 0.661)
Ni (0.661, 0.661, 0.153)
Ni (0.734, 0.734, 0.734)
Ni (0.813, 0.312, 0.312)
Ni (0.951, 0.364, 0.657)
Ni (0.951, 0.657, 0.364)
H (0.608, 0.608, 0.608)

Density functional theory data (GGA-PBE) for SrSmNi2H8 after structural relaxation.

Calculated volume ... 120 Å³ per cell
Calculated total energy ... -0.14657 hartree per atom

a = 6.907 Å, b = 6.907 Å, c = 6.907 Å
α = 39.56°, β = 39.56°, γ = 39.56°
Sites, in units of the cell vectors:
Sr (0.000, 0.000, 0.000)
Sm (0.500, 0.500, 0.500)
Ni (0.228, 0.228, 0.228)
Ni (0.772, 0.772, 0.772)
H (0.077, 0.561, 0.561)
H (0.145, 0.145, 0.145)
H (0.439, 0.439, 0.923)
H (0.439, 0.923, 0.439)
H (0.561, 0.077, 0.561)
H (0.561, 0.561, 0.077)
H (0.855, 0.855, 0.855)
H (0.923, 0.439, 0.439)

Density functional theory data (GGA-PBE) for Sm2ZnNi12H3 after structural relaxation.

Calculated volume ... 215 Å³ per cell
Calculated total energy ... -0.18585 hartree per atom

a = 6.942 Å, b = 6.942 Å, c = 6.942 Å
α = 56.13°, β = 56.13°, γ = 56.13°
Sites, in units of the cell vectors:
Sm (0.100, 0.100, 0.100)
Sm (0.900, 0.900, 0.900)
Zn (0.500, 0.500, 0.500)
Ni (0.041, 0.637, 0.637)
Ni (0.223, 0.223, 0.598)
Ni (0.223, 0.598, 0.223)
Ni (0.363, 0.363, 0.959)
Ni (0.363, 0.959, 0.363)
Ni (0.402, 0.777, 0.777)
Ni (0.598, 0.223, 0.223)
Ni (0.637, 0.041, 0.637)
Ni (0.637, 0.637, 0.041)
Ni (0.777, 0.402, 0.777)
Ni (0.777, 0.777, 0.402)
Ni (0.959, 0.363, 0.363)
H (0.000, 0.500, 0.500)
H (0.500, 0.000, 0.500)
H (0.500, 0.500, 0.000)

Density functional theory data (GGA-PBE) for SmZnNi2H after structural relaxation.

Calculated volume ... 137 Å³ per cell
Calculated total energy ... -0.16688 hartree per atom

a = 5.482 Å, b = 5.482 Å, c = 7.024 Å
α = 90.00°, β = 90.00°, γ = 139.36°
Sites, in units of the cell vectors:
Sm (0.057, 0.943, 0.750)
Sm (0.943, 0.057, 0.250)
Zn (0.224, 0.776, 0.250)
Zn (0.776, 0.224, 0.750)
Ni (0.342, 0.658, 0.558)
Ni (0.342, 0.658, 0.942)
Ni (0.658, 0.342, 0.058)
Ni (0.658, 0.342, 0.442)
H (0.500, 0.500, 0.000)
H (0.500, 0.500, 0.500)

Density functional theory data (GGA-PBE) for SmZnNi2H8 after structural relaxation.

Calculated volume ... 100 Å³ per cell
Calculated total energy ... -0.13746 hartree per atom

a = 4.312 Å, b = 4.312 Å, c = 6.188 Å
α = 90.00°, β = 90.00°, γ = 120.00°
Sites, in units of the cell vectors:
Sm (0.000, 0.000, 0.000)
Zn (0.000, 0.000, 0.500)
Ni (0.333, 0.667, 0.692)
Ni (0.667, 0.333, 0.308)
H (0.040, 0.694, 0.309)
H (0.306, 0.346, 0.309)
H (0.333, 0.667, 0.946)
H (0.346, 0.040, 0.691)
H (0.654, 0.960, 0.309)
H (0.667, 0.333, 0.054)
H (0.694, 0.654, 0.691)
H (0.960, 0.306, 0.691)

Density functional theory data (GGA-PBE) for Ni6SnH3 after structural relaxation.

Calculated volume ... 100 Å³ per cell
Calculated total energy ... -0.17854 hartree per atom

a = 5.217 Å, b = 5.217 Å, c = 5.217 Å
α = 59.66°, β = 59.66°, γ = 59.66°
Sites, in units of the cell vectors:
Ni (0.000, 0.499, 0.502)
Ni (0.001, 0.507, 0.002)
Ni (0.002, 0.001, 0.507)
Ni (0.499, 0.502, 0.000)
Ni (0.502, 0.000, 0.499)
Ni (0.507, 0.002, 0.001)
Sn (0.498, 0.498, 0.498)
H (0.249, 0.249, 0.249)
H (0.736, 0.736, 0.736)
H (0.902, 0.902, 0.902)

Density functional theory data (GGA-PBE) for Ni3SnH after structural relaxation.

Calculated volume ... 111 Å³ per cell
Energy above the lowest structure with this stoichiometry ... 65 meV/atom
Calculated total energy ... -0.18627 hartree per atom

a = 4.611 Å, b = 5.082 Å, c = 5.338 Å
α = 78.79°, β = 89.79°, γ = 64.99°
Sites, in units of the cell vectors:
Ni (0.198, 0.248, 0.203)
Ni (0.275, 0.754, 0.052)
Ni (0.277, 0.757, 0.545)
Ni (0.723, 0.243, 0.455)
Ni (0.725, 0.246, 0.948)
Ni (0.802, 0.752, 0.797)
Sn (0.232, 0.230, 0.711)
Sn (0.768, 0.770, 0.289)
H (0.473, 0.382, 0.180)
H (0.527, 0.618, 0.820)

Density functional theory data (GGA-PBE) for Ni3SnH after structural relaxation.

Calculated volume ... 145 Å³ per cell
Energy above the lowest structure with this stoichiometry ... 363 meV/atom
Calculated total energy ... -0.17531 hartree per atom

a = 6.826 Å, b = 6.826 Å, c = 4.604 Å
α = 90.00°, β = 90.00°, γ = 137.37°
Sites, in units of the cell vectors:
Ni (0.000, 0.000, 0.000)
Ni (0.000, 0.000, 0.500)
Ni (0.105, 0.387, 0.250)
Ni (0.387, 0.105, 0.750)
Ni (0.613, 0.895, 0.250)
Ni (0.895, 0.613, 0.750)
Sn (0.184, 0.816, 0.250)
Sn (0.816, 0.184, 0.750)
H (0.435, 0.565, 0.250)
H (0.565, 0.435, 0.750)

Density functional theory data (GGA-PBE) for Ni6SnH after structural relaxation.

Calculated volume ... 90 Å³ per cell
Calculated total energy ... -0.19120 hartree per atom

a = 4.573 Å, b = 4.573 Å, c = 4.573 Å
α = 100.28°, β = 100.28°, γ = 100.28°
Sites, in units of the cell vectors:
Ni (0.220, 0.220, 0.588)
Ni (0.220, 0.588, 0.220)
Ni (0.412, 0.780, 0.780)
Ni (0.588, 0.220, 0.220)
Ni (0.780, 0.412, 0.780)
Ni (0.780, 0.780, 0.412)
Sn (0.000, 0.000, 0.000)
H (0.500, 0.500, 0.500)

Density functional theory data (GGA-PBE) for Ni3SnH after structural relaxation.

Calculated volume ... 121 Å³ per cell
Energy above the lowest structure with this stoichiometry ... 291 meV/atom
Calculated total energy ... -0.17796 hartree per atom

a = 6.801 Å, b = 6.801 Å, c = 6.801 Å
α = 40.76°, β = 40.76°, γ = 40.76°
Sites, in units of the cell vectors:
Ni (0.045, 0.726, 0.389)
Ni (0.274, 0.611, 0.955)
Ni (0.389, 0.045, 0.726)
Ni (0.611, 0.955, 0.274)
Ni (0.726, 0.389, 0.045)
Ni (0.955, 0.274, 0.611)
Sn (0.165, 0.165, 0.165)
Sn (0.835, 0.835, 0.835)
H (0.349, 0.349, 0.349)
H (0.651, 0.651, 0.651)

Density functional theory data (GGA-PBE) for Ni3SnH after structural relaxation.

Calculated volume ... 54 Å³ per cell
Energy above the lowest structure with this stoichiometry ... 74 meV/atom
Calculated total energy ... -0.18594 hartree per atom

a = 4.735 Å, b = 4.735 Å, c = 4.735 Å
α = 133.91°, β = 133.66°, γ = 67.43°
Sites, in units of the cell vectors:
Ni (0.000, 0.000, 0.000)
Ni (0.500, 0.500, 0.000)
Ni (0.761, 0.261, 0.500)
Sn (0.244, 0.744, 0.500)
H (0.555, 0.055, 0.500)